# SCAN PRhCl2, PBEsol geometry
data_PRhCl2
_chemical_formula_sum 'P1 Rh1 Cl2'
_cell_length_a 3.4477
_cell_length_b 3.4477
_cell_length_c 7.7154
_cell_angle_alpha 90.00
_cell_angle_beta 90.00
_cell_angle_gamma 120.00
_symmetry_space_group_name_H-M 'P 3 m 1'
_symmetry_Int_Tables_number 156
loop_
_symmetry_equiv_pos_as_xyz
'x,y,z'
'-y,x-y,z'
'-x+y,-x,z'
'-y,-x,z'
'-x+y,y,z'
'x,x-y,z'
loop_
_atom_site_label
_atom_site_type_symbol
_atom_site_fract_x
_atom_site_fract_y
_atom_site_fract_z
P1 P 0.0000 0.0000 0.0000
Rh1 Rh 0.6667 0.3333 0.8652
Cl1 Cl 0.0000 0.0000 0.2610
Cl2 Cl 0.3333 0.6667 0.6604
# uncorrected energy = -15.952 eV per atom
# raw formation energy = -0.92 eV/atom
# size of the total moment = 0.0000 μB per atom
# D(E_F) = 0.00 states/eV/f.u.